# 1
# In2TcAs2

Crystalline In2TcAs2 at its relaxed geometry (PBE, the Alexandria database).

Geometry as extended XYZ:
```
10
Lattice="6.430 0.000 0.000 0.000 6.430 0.000 0.000 0.000 5.126" Properties=species:S:1:pos:R:3 pbc="T T T"
In 1.179 2.036 0.000
In 2.036 5.251 0.000
In 4.395 1.179 0.000
In 5.251 4.395 0.000
Tc 0.000 0.000 2.563
Tc 3.215 3.215 2.563
As 0.926 4.141 2.563
As 2.290 0.926 2.563
As 4.141 5.505 2.563
As 5.505 2.290 2.563
```

Formation energy in eV per atom: 0.1278
Crystal system: tetragonal
Space-group type: P4/mbm
E_tot in eV/atom: -4.901



# 2
# InTc3As

Crystalline InTc3As at its relaxed geometry (PBE, the Alexandria database).

Geometry as extended XYZ:
```
5
Lattice="4.997 0.000 0.000 0.000 4.997 0.000 0.000 0.000 4.997" Properties=species:S:1:pos:R:3 pbc="T T T"
In 0.000 0.000 0.000
Tc 0.000 0.000 2.498
Tc 0.000 2.498 0.000
Tc 2.498 0.000 0.000
As 2.498 2.498 2.498
```

Formation energy in eV per atom: 2.3255
Crystal system: cubic
Space-group type: Pm-3m
E_tot in eV/atom: -5.372